! Sc2GaAs2, relaxed, DFT PBE; values from VASP
&SYSTEM
  ibrav = 0, nat = 10, ntyp = 3
/
ATOMIC_SPECIES
Sc 44.96 Sc.upf
Ga 69.72 Ga.upf
As 74.92 As.upf
CELL_PARAMETERS angstrom
7.387 0.000 0.000
0.000 7.387 0.000
0.000 0.000 3.620
ATOMIC_POSITIONS angstrom
Sc 1.149 2.544 0.000
Sc 2.544 6.238 0.000
Sc 4.843 1.149 0.000
Sc 6.238 4.843 0.000
Ga 0.000 0.000 1.810
Ga 3.694 3.694 1.810
As 1.096 4.789 1.810
As 2.598 1.096 1.810
As 4.789 6.291 1.810
As 6.291 2.598 1.810
! **Density**: 5.2 g/cm³
! **Crystal system**: tetragonal
! **Space-group type**: No. 127
! **Energy above the lowest structure with this stoichiometry**: 0 meV per atom
! **Calculated formation energy**: -0.8440 eV/atom
! **Total moment**: 0.00 μB/atom

***

! ScGaAs2, relaxed, DFT PBE; values from VASP
&SYSTEM
  ibrav = 0, nat = 8, ntyp = 3
/
ATOMIC_SPECIES
Sc 44.96 Sc.upf
Ga 69.72 Ga.upf
As 74.92 As.upf
CELL_PARAMETERS angstrom
-3.041 3.041 5.684
3.041 -3.041 5.684
3.041 3.041 -5.684
ATOMIC_POSITIONS angstrom
Sc 0.000 0.000 0.000
Sc 0.000 3.041 2.842
Ga 3.041 0.000 2.842
Ga 0.000 0.000 5.684
As 1.520 -1.388 4.263
As 1.653 1.520 1.421
As 1.520 4.428 -1.421
As 1.388 1.520 7.104
! **Density**: 4.2 g/cm³
! **Crystal system**: tetragonal
! **Space-group type**: No. 122
! **Calculated formation energy**: -0.5456 eV/atom
! **Total moment**: 0.00 μB/atom

***

! Sc2GaAs2, relaxed, DFT PBE; values from VASP
&SYSTEM
  ibrav = 0, nat = 10, ntyp = 3
/
ATOMIC_SPECIES
Sc 44.96 Sc.upf
Ga 69.72 Ga.upf
As 74.92 As.upf
CELL_PARAMETERS angstrom
7.425 0.000 0.000
0.000 7.425 0.000
0.000 0.000 3.623
ATOMIC_POSITIONS angstrom
Sc 1.103 2.609 0.000
Sc 2.609 6.322 0.000
Sc 4.816 1.103 0.000
Sc 6.322 4.816 0.000
Ga 0.000 0.000 0.000
Ga 3.713 3.713 0.000
As 1.185 4.897 1.812
As 2.528 1.185 1.812
As 4.897 6.241 1.812
As 6.241 2.528 1.812
! **Density**: 5.1 g/cm³
! **Crystal system**: tetragonal
! **Space-group type**: No. 127
! **Energy above the lowest structure with this stoichiometry**: 79 meV per atom
! **Calculated formation energy**: -0.7653 eV/atom
! **Total moment**: 0.00 μB/atom

***

! ScGa2As2, relaxed, DFT PBE; values from VASP
&SYSTEM
  ibrav = 0, nat = 5, ntyp = 3
/
ATOMIC_SPECIES
Sc 44.96 Sc.upf
Ga 69.72 Ga.upf
As 74.92 As.upf
CELL_PARAMETERS angstrom
-1.865 1.865 7.348
1.865 -1.865 7.348
1.865 1.865 -7.348
ATOMIC_POSITIONS angstrom
Sc 0.000 0.000 0.000
Ga 1.865 0.000 3.674
Ga 0.000 1.865 3.674
As 0.000 0.000 6.074
As 0.000 0.000 8.622
! **Density**: 5.4 g/cm³
! **Crystal system**: tetragonal
! **Space-group type**: No. 139
! **Calculated formation energy**: -0.3452 eV/atom
! **Total moment**: 0.00 μB/atom

***

! ScGa2As2, relaxed, DFT PBE; values from VASP
&SYSTEM
  ibrav = 0, nat = 10, ntyp = 3
/
ATOMIC_SPECIES
Sc 44.96 Sc.upf
Ga 69.72 Ga.upf
As 74.92 As.upf
CELL_PARAMETERS angstrom
7.081 0.000 0.000
0.000 7.081 0.000
0.000 0.000 3.932
ATOMIC_POSITIONS angstrom
Sc 0.000 0.000 0.000
Sc 3.541 3.541 0.000
Ga 1.190 2.351 1.966
Ga 2.351 5.891 1.966
Ga 4.731 1.190 1.966
Ga 5.891 4.731 1.966
As 1.031 4.572 0.000
As 2.510 1.031 0.000
As 4.572 6.050 0.000
As 6.050 2.510 0.000
! **Density**: 5.6 g/cm³
! **Crystal system**: tetragonal
! **Space-group type**: No. 127
! **Calculated formation energy**: -0.3020 eV/atom
! **Total moment**: 0.00 μB/atom

***

! ScGaAs3, relaxed, DFT PBE; values from VASP
&SYSTEM
  ibrav = 0, nat = 5, ntyp = 3
/
ATOMIC_SPECIES
Sc 44.96 Sc.upf
Ga 69.72 Ga.upf
As 74.92 As.upf
CELL_PARAMETERS angstrom
4.872 0.000 0.000
0.000 4.872 0.000
0.000 0.000 4.872
ATOMIC_POSITIONS angstrom
Sc 0.000 0.000 0.000
Ga 2.436 2.436 2.436
As 0.000 2.436 2.436
As 2.436 0.000 2.436
As 2.436 2.436 0.000
! **Density**: 4.9 g/cm³
! **Crystal system**: cubic
! **Space-group type**: No. 221
! **Energy above the lowest structure with this stoichiometry**: 134 meV per atom
! **Calculated formation energy**: 0.3165 eV/atom
! **Total moment**: 0.00 μB/atom

***

! ScGa3As, relaxed, DFT PBE; values from VASP
&SYSTEM
  ibrav = 0, nat = 5, ntyp = 3
/
ATOMIC_SPECIES
Sc 44.96 Sc.upf
Ga 69.72 Ga.upf
As 74.92 As.upf
CELL_PARAMETERS angstrom
4.919 0.000 0.000
0.000 4.919 0.000
0.000 0.000 4.919
ATOMIC_POSITIONS angstrom
Sc 0.000 0.000 0.000
Ga 0.000 2.460 2.460
Ga 2.460 0.000 2.460
Ga 2.460 2.460 0.000
As 2.460 2.460 2.460
! **Density**: 4.6 g/cm³
! **Crystal system**: cubic
! **Space-group type**: No. 221
! **Energy above the lowest structure with this stoichiometry**: 0 meV per atom
! **Calculated formation energy**: 0.3593 eV/atom
! **Total moment**: 0.00 μB/atom

***

! ScGa2As, relaxed, DFT PBE; values from VASP
&SYSTEM
  ibrav = 0, nat = 8, ntyp = 3
/
ATOMIC_SPECIES
Sc 44.96 Sc.upf
Ga 69.72 Ga.upf
As 74.92 As.upf
CELL_PARAMETERS angstrom
-3.803 3.803 2.760
3.803 -3.803 2.760
3.803 3.803 -2.760
ATOMIC_POSITIONS angstrom
Sc 0.000 0.000 0.000
Sc 0.000 3.803 1.380
Ga 1.901 -1.696 2.070
Ga 2.107 1.901 0.690
Ga 1.901 5.499 -0.690
Ga 1.696 1.901 3.450
As 3.803 0.000 1.380
As 0.000 0.000 2.760
! **Density**: 5.4 g/cm³
! **Crystal system**: tetragonal
! **Space-group type**: No. 122
! **Calculated formation energy**: -0.3425 eV/atom
! **Total moment**: 0.00 μB/atom

***

! ScGa3As, relaxed, DFT PBE; values from VASP
&SYSTEM
  ibrav = 0, nat = 5, ntyp = 3
/
ATOMIC_SPECIES
Sc 44.96 Sc.upf
Ga 69.72 Ga.upf
As 74.92 As.upf
CELL_PARAMETERS angstrom
5.199 0.000 0.000
0.000 5.199 0.000
0.000 0.000 5.199
ATOMIC_POSITIONS angstrom
Sc 0.000 0.000 0.000
Ga 0.000 0.000 2.599
Ga 0.000 2.599 0.000
Ga 2.599 0.000 0.000
As 2.599 2.599 2.599
! **Density**: 3.9 g/cm³
! **Crystal system**: cubic
! **Space-group type**: No. 221
! **Energy above the lowest structure with this stoichiometry**: 349 meV per atom
! **Calculated formation energy**: 0.7085 eV/atom
! **Total moment**: 0.18 μB/atom

***

! Sc6GaAs2Se3, relaxed, DFT PBE; values from VASP
&SYSTEM
  ibrav = 0, nat = 12, ntyp = 4
/
ATOMIC_SPECIES
Sc 44.96 Sc.upf
Ga 69.72 Ga.upf
As 74.92 As.upf
Se 78.96 Se.upf
CELL_PARAMETERS angstrom
8.507 -1.919 0.000
8.507 1.919 0.000
-1.886 0.000 7.636
ATOMIC_POSITIONS angstrom
Sc -0.450 0.000 1.891
Sc 4.802 0.000 3.239
Sc 4.001 0.000 6.965
Sc 11.127 0.000 0.670
Sc 10.326 0.000 4.397
Sc 15.578 0.000 5.744
Ga 8.507 0.000 0.000
As 2.199 0.000 2.542
As 12.929 0.000 5.094
Se 1.294 0.000 6.350
Se 7.564 0.000 3.818
Se 13.834 0.000 1.286
! **Density**: 4.8 g/cm³
! **Crystal system**: monoclinic
! **Formation energy without anion corrections**: -16.54 eV per formula unit
! **Space-group type**: No. 12
! **Total moment**: 0.00 μB/atom

***

| no. | density of states at the Fermi level (states/eV per atom) |
| --- | --- |
| 1 | 0.48 |
| 2 | 0.00 |
| 3 | 0.61 |
| 4 | 0.38 |
| 5 | 0.49 |
| 6 | 0.86 |
| 7 | 0.63 |
| 8 | 0.53 |
| 9 | 0.75 |
| 10 | 0.29 |